No. 1
First-principles (PBE-GGA) data for a relaxed structure of BaSr2Li, as listed in Alexandria via LeMat-Bulk.

a b c (Å): 5.9303 5.9303 5.6737
angles (deg): 90.00 90.00 90.02
With the nearest neighbours (Å) after each atom.
Positions (direct):
1 Sr 0.0000 0.0000 0.0000  4 Ba 4.10, 4 Li 4.10, 4 Sr 4.19
2 Sr 0.5000 0.5000 0.0000  4 Li 4.10, 4 Ba 4.10, 4 Sr 4.19
3 Ba 0.5000 0.0000 0.5000  8 Sr 4.10, 4 Li 4.19
4 Li 0.0000 0.5000 0.5000  8 Sr 4.10, 4 Ba 4.19

Space group   P4/mmm (123)
Distance to the lowest polymorph of the same formula   66 meV per atom
Formation enthalpy at 0 K   8.12 kJ/mol of atoms
DOS at the Fermi energy   4.22 states/eV/f.u.

No. 2
First-principles (PBE-GGA) data for a relaxed structure of K2TlNi, as listed in Alexandria via LeMat-Bulk.

a b c (Å): 5.7185 5.7185 5.7185
angles (deg): 60.00 60.00 60.00
With the nearest neighbours (Å) after each atom.
Positions (direct):
1 Ni 0.0000 0.0000 0.0000  8 K 3.50
2 Tl 0.5000 0.5000 0.5000  8 K 3.50
3 K 0.2500 0.2500 0.2500  4 Tl 3.50, 4 Ni 3.50
4 K 0.7500 0.7500 0.7500  4 Tl 3.50, 4 Ni 3.50

Space group   Fm-3m (225)
Distance to the lowest polymorph of the same formula   378 meV per atom
Formation enthalpy at 0 K   52.78 kJ/mol of atoms
DOS at the Fermi energy   3.11 states/eV/f.u.

No. 3
First-principles (PBE-GGA) data for a relaxed structure of Nd2Sm2Au3, as listed in Alexandria via LeMat-Bulk.

a b c (Å): 7.9449 7.9449 7.9449
angles (deg): 109.47 109.47 109.47
With the nearest neighbours (Å) after each atom.
Positions (direct):
1 Nd 0.5000 0.3587 0.5000  6 Au 3.05-3.34
2 Nd 0.0000 0.0000 0.3587  6 Au 3.05-3.34
3 Nd 0.6413 0.1413 0.1413  6 Au 3.05-3.34
4 Nd 0.8587 0.5000 0.0000  6 Au 3.05-3.34
5 Sm 0.0000 0.0000 0.8611  6 Au 3.05-3.28
6 Sm 0.5000 0.8611 0.5000  6 Au 3.05-3.28
7 Sm 0.1389 0.6389 0.6389  6 Au 3.05-3.28
8 Sm 0.3611 0.5000 0.0000  6 Au 3.05-3.28
9 Au 0.7500 0.6297 0.3797  4 Nd 3.05-3.34, 4 Sm 3.05-3.28
10 Au 0.2500 0.8703 0.1203  4 Nd 3.05-3.34, 4 Sm 3.05-3.28
11 Au 0.6203 0.7500 0.8703  4 Nd 3.05-3.34, 4 Sm 3.05-3.28
12 Au 0.8797 0.2500 0.6297  4 Nd 3.05-3.34, 4 Sm 3.05-3.28
13 Au 0.3703 0.1203 0.7500  4 Nd 3.05-3.34, 4 Sm 3.05-3.28
14 Au 0.1297 0.3797 0.2500  4 Nd 3.05-3.34, 4 Sm 3.05-3.28

Space group   I2_13 (199)
Formation enthalpy at 0 K   -59.06 kJ/mol of atoms
DOS at the Fermi energy   9.78 states/eV/f.u.

Question: Look up the formation enthalpy at 0 K of the first one.
Answer: 8.12 kJ/mol of atoms

Question: Which value of formation enthalpy at 0 K does entry 1 give?
Answer: 8.12 kJ/mol of atoms